The following is a PBE+U calculation of an optimized crystal structure of KFeSn2F8, from the Alexandria database.

a = 5.382 Å, b = 5.475 Å, c = 7.404 Å
α = 88.49°, β = 88.04°, γ = 85.85°
Fractional coordinates of all 12 atoms:
K: 0.000 0.000 0.000
Fe: 0.000 0.000 0.500
Sn: 0.485 0.481 0.267
Sn: 0.515 0.519 0.733
F: 0.147 0.777 0.312
F: 0.226 0.249 0.417
F: 0.238 0.875 0.683
F: 0.329 0.335 0.040
F: 0.671 0.665 0.960
F: 0.762 0.125 0.317
F: 0.774 0.751 0.583
F: 0.853 0.223 0.688

Its density of states at the Fermi level is 0.0 states/eV/cell. For the calculated total energy, the calculation gives -4.928 eV per atom. Its theoretical density is 3.70 Mg/m³.